[1]
Here is an optimized crystal structure of BaCaHg from Alexandria. Energies are from GGA-PBEsol.

abc: 3.9368 3.9368 7.4531
angles: 105.31 105.31 90.00
Sites, in units of the cell vectors:
Ba (0.0242, 0.0242, 0.0483)
Hg (0.6822, 0.6822, 0.3643)
Ca (0.2937, 0.2937, 0.5873)

Theoretical density   5.86 Mg/m³
Calculated total energy   -6.1 eV/cell
Formation energy from the elements   -0.40 eV per atom
Space group   I4mm, No. 107
Fermi-level density of states   0.968 states/eV per atom

[2]
Here is an optimized crystal structure of BaCa2Hg2 from Alexandria. Energies are from GGA-PBEsol.

abc: 5.0510 5.0510 7.5648
angles: 109.50 109.50 90.00
Sites, in units of the cell vectors:
Hg (0.3926, 0.3926, 0.7853)
Hg (0.6074, 0.6074, 0.2147)
Ca (0.2500, 0.7500, 0.5000)
Ba (0.0000, 0.0000, 0.0000)
Ca (0.7500, 0.2500, 0.5000)

Theoretical density   6.04 Mg/m³
Calculated total energy   -9.5 eV/cell
Energy relative to the lowest polymorph listed for this composition   0.049 eV/atom
Formation energy from the elements   -0.40 eV per atom
Space group   I4/mmm, No. 139
Fermi-level density of states   1.321 states/eV per atom

[3]
Here is an optimized crystal structure of BaCa4Hg from Alexandria. Energies are from GGA-PBEsol.

abc: 7.0489 7.0489 7.0489
angles: 60.00 60.00 60.00
Sites, in units of the cell vectors:
Hg (0.7500, 0.7500, 0.7500)
Ca (0.3755, 0.3755, 0.8736)
Ca (0.8736, 0.3755, 0.3755)
Ca (0.3755, 0.8736, 0.3755)
Ba (0.0000, 0.0000, 0.0000)
Ca (0.3755, 0.3755, 0.3755)

Theoretical density   3.34 Mg/m³
Calculated total energy   -10.3 eV/cell
Formation energy from the elements   0.15 eV per atom
Space group   F-43m, No. 216
Fermi-level density of states   0.947 states/eV per atom

[4]
Here is an optimized crystal structure of BaCa2Hg from Alexandria. Energies are from GGA-PBEsol.

abc: 4.9982 4.9982 5.6834
angles: 90.00 90.00 90.00
Sites, in units of the cell vectors:
Ca (0.0000, 0.5000, 0.0000)
Ca (0.5000, 0.0000, 0.0000)
Ba (0.0000, 0.0000, 0.5000)
Hg (0.5000, 0.5000, 0.5000)

Theoretical density   4.89 Mg/m³
Calculated total energy   -7.6 eV/cell
Formation energy from the elements   -0.16 eV per atom
Space group   P4/mmm, No. 123
Fermi-level density of states   1.145 states/eV per atom